(1)
Below is an optimized crystal structure of Mn2Pd4Pt5, with properties calculated at the PBE level.

Geometry as POSCAR:
```
Mn2Pd4Pt5
1.0
-2.216 3.832 5.244
2.216 -3.832 5.244
2.216 3.832 -5.244
Mn Pd Pt
2 4 5
Direct
0.135 0.135 0.000
0.865 0.865 0.000
0.301 0.000 0.301
0.375 0.375 0.000
0.625 0.625 0.000
0.699 0.000 0.699
0.000 0.500 0.500
0.067 0.734 0.333
0.401 0.734 0.667
0.599 0.266 0.333
0.933 0.266 0.667
```

Symmetry: Immm (71)
Crystal system: orthorhombic
Total energy, eV/atom: -6.31
Formation energy from the elements, eV/atom: -0.010

---

(2)
Below is an optimized crystal structure of Mn2Pd4Pt, with properties calculated at the PBE level.

Geometry as POSCAR:
```
Mn2Pd4Pt
1.0
6.050 0.000 0.000
0.000 9.833 0.000
0.000 0.000 3.786
Mn Pd Pt
4 8 2
Direct
0.210 0.055 0.000
0.290 0.555 0.000
0.710 0.445 0.000
0.790 0.945 0.000
0.084 0.307 0.000
0.089 0.866 0.500
0.411 0.366 0.500
0.416 0.807 0.000
0.584 0.193 0.000
0.589 0.634 0.500
0.911 0.134 0.500
0.916 0.693 0.000
0.000 0.500 0.500
0.500 0.000 0.500
```

Relative energy among the computed polymorphs, eV/atom: 0.046
Symmetry: Pbam (55)
Crystal system: orthorhombic
Total energy, eV/atom: -6.49
Formation energy from the elements, eV/atom: -0.036

---

(3)
Below is an optimized crystal structure of Mn4Pd2Pt3, with properties calculated at the PBE level.

Geometry as POSCAR:
```
Mn4Pd2Pt3
1.0
4.046 0.000 0.000
2.022 4.185 0.000
0.007 1.625 8.051
Mn Pd Pt
4 2 3
Direct
0.015 0.469 0.338
0.338 0.824 0.111
0.662 0.176 0.889
0.985 0.531 0.662
0.328 0.845 0.783
0.672 0.155 0.217
0.000 0.500 0.000
0.337 0.825 0.433
0.663 0.175 0.567
```

Symmetry: P-1 (2)
Crystal system: triclinic
Total energy, eV/atom: -7.52
Formation energy from the elements, eV/atom: -0.274

---

(4)
Below is an optimized crystal structure of Mn2PdPt, with properties calculated at the PBE level.

Geometry as POSCAR:
```
Mn2PdPt
1.0
4.205 0.000 0.000
0.000 4.205 0.000
0.000 0.000 3.426
Mn Pd Pt
2 1 1
Direct
0.000 0.500 0.000
0.500 0.000 0.000
0.000 0.000 0.500
0.500 0.500 0.500
```

Symmetry: P4/mmm (123)
Crystal system: tetragonal
Total energy, eV/atom: -7.68
Formation energy from the elements, eV/atom: -0.284

---

(5)
Below is an optimized crystal structure of MnPd5Pt2, with properties calculated at the PBE level.

Geometry as POSCAR:
```
MnPd5Pt2
1.0
4.370 0.000 0.000
0.000 9.222 0.000
-2.178 0.000 6.374
Mn Pd Pt
2 10 4
Direct
0.244 0.250 0.488
0.756 0.750 0.512
0.063 0.105 0.127
0.063 0.395 0.127
0.397 0.750 0.791
0.415 0.094 0.831
0.415 0.406 0.831
0.585 0.594 0.169
0.585 0.906 0.169
0.603 0.250 0.209
0.937 0.605 0.873
0.937 0.895 0.873
0.219 0.587 0.439
0.219 0.913 0.439
0.781 0.087 0.561
0.781 0.413 0.561
```

Relative energy among the computed polymorphs, eV/atom: 0.193
Symmetry: P2_1/m (11)
Crystal system: monoclinic
Total energy, eV/atom: -5.85
Formation energy from the elements, eV/atom: 0.051

---

(6)
Below is an optimized crystal structure of Mn2Pd3Pt3, with properties calculated at the PBE level.

Geometry as POSCAR:
```
Mn2Pd3Pt3
1.0
3.911 0.000 0.000
0.000 3.931 0.000
0.000 0.000 7.840
Mn Pd Pt
2 3 3
Direct
0.000 0.000 0.250
0.000 0.000 0.750
0.000 0.500 0.000
0.500 0.000 0.000
0.500 0.000 0.500
0.000 0.500 0.500
0.500 0.500 0.250
0.500 0.500 0.750
```

Symmetry: Pmmm (47)
Crystal system: orthorhombic
Total energy, eV/atom: -6.80
Formation energy from the elements, eV/atom: -0.296

---

(7)
Below is an optimized crystal structure of MnPdPt2, with properties calculated at the PBE level.

Geometry as POSCAR:
```
MnPdPt2
1.0
-1.964 1.964 3.921
1.964 -1.964 3.921
1.964 1.964 -3.921
Mn Pd Pt
1 1 2
Direct
0.000 0.000 0.000
0.500 0.500 0.000
0.250 0.750 0.500
0.750 0.250 0.500
```

Symmetry: I4/mmm (139)
Crystal system: tetragonal
Total energy, eV/atom: -6.88
Formation energy from the elements, eV/atom: -0.273

---

(8)
Below is an optimized crystal structure of MnPdPt3, with properties calculated at the PBE level.

Geometry as POSCAR:
```
MnPdPt3
1.0
6.334 -2.628 0.000
6.334 2.628 0.000
-1.160 0.000 4.965
Mn Pd Pt
2 2 6
Direct
0.196 0.196 0.376
0.804 0.804 0.624
0.433 0.433 0.712
0.567 0.567 0.288
0.000 0.000 0.000
0.000 0.000 0.500
0.100 0.586 0.179
0.414 0.900 0.821
0.586 0.100 0.179
0.900 0.414 0.821
```

Relative energy among the computed polymorphs, eV/atom: 0.000
Symmetry: C2/m (12)
Crystal system: monoclinic
Total energy, eV/atom: -6.54
Formation energy from the elements, eV/atom: -0.041

---

Q: The lowest total energy belongs to which entry?
A: Mn2PdPt